Compound: Ba2LiIr2
Source: the Alexandria database
Functional: PBE-GGA
Structure: relaxed

Values from the calculation:
Total magnetic moment = 0.000 μB/atom
VASP energy = -45.57 eV per cell
Energy of formation = 0.7 eV per formula unit

abc: 7.6205 7.6205 4.7656
angles: 90.00 90.00 90.00
Sites, in units of the cell vectors:
Ir (0.3849, 0.8849, 0.0000)
Ir (0.8849, 0.6151, 0.0000)
Ir (0.6151, 0.1151, 0.0000)
Ir (0.1151, 0.3849, 0.0000)
Ba (0.1787, 0.6787, 0.5000)
Ba (0.6787, 0.8213, 0.5000)
Ba (0.8213, 0.3213, 0.5000)
Ba (0.3213, 0.1787, 0.5000)
Li (0.0000, 0.0000, 0.0000)
Li (0.5000, 0.5000, 0.0000)

***

Compound: Ba2OsW
Source: the Alexandria database
Functional: PBE-GGA
Structure: relaxed

Values from the calculation:
Total magnetic moment = 0.091 μB/atom
E above lowest polymorph = 1213.8 meV per atom
VASP energy = -21.56 eV per cell
Energy of formation = 6.5 eV per formula unit

abc: 6.6703 6.1839 3.1261
angles: 89.97 62.12 114.91
Site moments in Bohr magnetons follow the coordinates.
Sites, in units of the cell vectors:
Os (0.0000, 0.5000, 0.5000)  0.41
Ba (0.0000, 0.0000, 0.0000)  -0.01
Ba (0.5000, 0.0000, 0.5000)  -0.01
W (0.5000, 0.5000, 0.0000)  -0.03

***

Q: What is the total magnetic moment in the first record?
A: 0.000 μB/atom

***

Q: Number 1 is which compound?
A: Ba2LiIr2